1.
Below is an optimized crystal structure of Cd2RuO, with properties calculated at the GGA-PBE level.

Cell and atoms, written as CIF:
```
data_Cd2RuO
_chemical_formula_sum 'Cd8 Ru4 O4'
_symmetry_space_group_name_H-M 'I -4 2 d'
_symmetry_Int_Tables_number 122
_symmetry_space_group_name_Hall 'I -4 2bw'
_cell_length_a 7.1186
_cell_length_b 7.1186
_cell_length_c 5.1826
_cell_angle_alpha 90.00
_cell_angle_beta 90.00
_cell_angle_gamma 90.00
loop_
_atom_site_label
_atom_site_type_symbol
_atom_site_fract_x
_atom_site_fract_y
_atom_site_fract_z
_atom_site_occupancy
Cd1 Cd 0.1849 0.2500 0.1250 1
Ru1 Ru 0.0000 0.0000 0.5000 1
O1 O 0.0000 0.0000 0.0000 1
```

Its total DFT energy (no corrections) is -3.77 eV/atom. The formation energy from raw total energies comes out at 243 meV/atom.

2.
Below is an optimized crystal structure of CdRuO2, with properties calculated at the GGA-PBE level.

Cell and atoms, written as CIF:
```
data_CdRuO2
_chemical_formula_sum 'Cd3 Ru3 O6'
_symmetry_space_group_name_H-M 'R -3 m'
_symmetry_Int_Tables_number 166
_symmetry_space_group_name_Hall '-R 3 2"'
_cell_length_a 2.9770
_cell_length_b 2.9770
_cell_length_c 21.4626
_cell_angle_alpha 90.00
_cell_angle_beta 90.00
_cell_angle_gamma 120.00
loop_
_atom_site_label
_atom_site_type_symbol
_atom_site_fract_x
_atom_site_fract_y
_atom_site_fract_z
_atom_site_occupancy
Cd1 Cd 0.0000 0.0000 0.0000 1
Ru1 Ru 0.0000 0.0000 0.5000 1
O1 O 0.0000 0.0000 0.1144 1
```

Its total DFT energy (no corrections) is -5.67 eV/atom. The formation energy from raw total energies comes out at -642 meV/atom.

3.
Below is an optimized crystal structure of CdRu2O6, with properties calculated at the GGA-PBE level.

Cell and atoms, written as CIF:
```
data_CdRu2O6
_chemical_formula_sum 'Cd1 Ru2 O6'
_symmetry_space_group_name_H-M 'P -3 1 m'
_symmetry_Int_Tables_number 162
_symmetry_space_group_name_Hall '-P 3 2'
_cell_length_a 5.2518
_cell_length_b 5.2518
_cell_length_c 4.7362
_cell_angle_alpha 90.00
_cell_angle_beta 90.00
_cell_angle_gamma 120.00
loop_
_atom_site_label
_atom_site_type_symbol
_atom_site_fract_x
_atom_site_fract_y
_atom_site_fract_z
_atom_site_occupancy
Cd1 Cd 0.0000 0.0000 0.0000 1
Ru1 Ru 0.3333 0.6667 0.5000 1
O1 O 0.0000 0.3739 0.7204 1
```

Its total DFT energy (no corrections) is -6.36 eV/atom. The formation energy from raw total energies comes out at -887 meV/atom.

4.
Below is an optimized crystal structure of CdRu2O8, with properties calculated at the GGA-PBE level.

Cell and atoms, written as CIF:
```
data_CdRu2O8
_chemical_formula_sum 'Cd2 Ru4 O16'
_symmetry_space_group_name_H-M 'C 1 2/m 1'
_symmetry_Int_Tables_number 12
_cell_length_a 10.8121
_cell_length_b 6.2273
_cell_length_c 5.7197
_cell_angle_alpha 90.00
_cell_angle_beta 106.35
_cell_angle_gamma 90.00
loop_
_symmetry_equiv_pos_as_xyz
'x,y,z'
'-x,-y,-z'
'-x,y,-z'
'x,-y,z'
'x+1/2,y+1/2,z'
'-x+1/2,-y+1/2,-z'
'-x+1/2,y+1/2,-z'
'x+1/2,-y+1/2,z'
loop_
_atom_site_label
_atom_site_type_symbol
_atom_site_fract_x
_atom_site_fract_y
_atom_site_fract_z
_atom_site_occupancy
Cd1 Cd 0.0000 0.0000 0.0000 1
Ru1 Ru 0.1917 0.5000 0.1651 1
O1 O 0.1265 0.2640 0.2505 1
O2 O 0.1392 0.0000 0.7517 1
O3 O 0.1438 0.5000 0.8487 1
```

Its total DFT energy (no corrections) is -6.08 eV/atom. The formation energy from raw total energies comes out at -708 meV/atom.

5.
Below is an optimized crystal structure of CdRu3O, with properties calculated at the GGA-PBE level.

Cell and atoms, written as CIF:
```
data_CdRu3O
_chemical_formula_sum 'Cd1 Ru3 O1'
_symmetry_space_group_name_H-M 'P m -3 m'
_symmetry_Int_Tables_number 221
_symmetry_space_group_name_Hall '-P 4 2 3'
_cell_length_a 4.1252
_cell_length_b 4.1252
_cell_length_c 4.1252
_cell_angle_alpha 90.00
_cell_angle_beta 90.00
_cell_angle_gamma 90.00
loop_
_atom_site_label
_atom_site_type_symbol
_atom_site_fract_x
_atom_site_fract_y
_atom_site_fract_z
_atom_site_occupancy
Cd1 Cd 0.0000 0.0000 0.0000 1
Ru1 Ru 0.0000 0.5000 0.5000 1
O1 O 0.5000 0.5000 0.5000 1
```

Its total DFT energy (no corrections) is -6.46 eV/atom. The formation energy from raw total energies comes out at 281 meV/atom. The energy above the lowest structure with this stoichiometry is 0 meV/atom.

6.
Below is an optimized crystal structure of CdRuO2, with properties calculated at the GGA-PBE level.

Cell and atoms, written as CIF:
```
data_CdRuO2
_chemical_formula_sum 'Cd4 Ru4 O8'
_symmetry_space_group_name_H-M 'I -4 2 d'
_symmetry_Int_Tables_number 122
_symmetry_space_group_name_Hall 'I -4 2bw'
_cell_length_a 4.3477
_cell_length_b 4.3477
_cell_length_c 12.1078
_cell_angle_alpha 90.00
_cell_angle_beta 90.00
_cell_angle_gamma 90.00
loop_
_atom_site_label
_atom_site_type_symbol
_atom_site_fract_x
_atom_site_fract_y
_atom_site_fract_z
_atom_site_occupancy
Cd1 Cd 0.0000 0.0000 0.0000 1
Ru1 Ru 0.0000 0.0000 0.5000 1
O1 O 0.1805 0.2500 0.6250 1
```

Its total DFT energy (no corrections) is -5.34 eV/atom. The formation energy from raw total energies comes out at -311 meV/atom.